First-principles (PBE-GGA) data for an optimized crystal structure of TeAs3, as listed in Alexandria.

```
4
Lattice="-2.253 3.705 -2.404 -3.413 -3.042 1.919 2.796 1.857 3.649" Properties=species:S:1:pos:R:3 pbc="T T T"
As 0.271 2.781 0.623
As 0.000 0.000 0.000
As -2.833 0.332 -0.243
Te -0.309 -0.592 2.784
```

Formation energy from raw total energies: 0.169 eV/atom
Space group: No. 229
E above lowest polymorph: 72.8 meV/atom
Fermi-level density of states: 0.978 states/eV/atom
Raw total energy: -16.42 eV per cell